# 1
This record from Alexandria describes Li3Bi2P3O12 at its PBEsol-relaxed geometry. The functional is SCAN.

Results
- V (A^3/atom) = 12.06
- energy relative to the elements, uncorrected (meV per atom) = -2223
- magnetization (μB/cell) = 0.000
- excess energy over the best structure of this formula in the dataset (meV/atom) = 17

Unit cell a=8.578 b=5.613 c=20.048 alpha=90.00 beta=92.26 gamma=90.00
Space group C2/m (No. 12)
Asymmetric unit:
1 Li 0.000 0.000 0.158 (multiplicity 4)
2 Li 0.159 0.500 0.776 (multiplicity 4)
3 Li 0.162 0.500 0.090 (multiplicity 4)
4 Bi 0.000 0.000 0.000 (multiplicity 2)
5 Bi 0.000 0.000 0.500 (multiplicity 2)
6 Bi 0.008 0.000 0.319 (multiplicity 4)
7 P 0.141 0.500 0.601 (multiplicity 4)
8 P 0.144 0.500 0.922 (multiplicity 4)
9 P 0.152 0.500 0.236 (multiplicity 4)
10 O 0.031 0.280 0.915 (multiplicity 8)
11 O 0.037 0.273 0.590 (multiplicity 8)
12 O 0.038 0.279 0.234 (multiplicity 8)
13 O 0.206 0.500 0.674 (multiplicity 4)
14 O 0.223 0.500 0.993 (multiplicity 4)
15 O 0.235 0.000 0.451 (multiplicity 4)
16 O 0.238 0.000 0.132 (multiplicity 4)
17 O 0.241 0.000 0.822 (multiplicity 4)
18 O 0.245 0.500 0.304 (multiplicity 4)

---

# 2
This record from Alexandria describes LiBiP4O12 at its PBEsol-relaxed geometry. The functional is SCAN.

Results
- V (A^3/atom) = 13.19
- energy relative to the elements, uncorrected (meV per atom) = -2248
- magnetization (μB/cell) = 0.000

Unit cell a=7.916 b=12.313 c=10.383 alpha=90.00 beta=110.23 gamma=90.00
Space group C2/c (No. 15)
Asymmetric unit:
1 Li 0.000 0.114 0.250 (multiplicity 4)
2 Bi 0.000 0.131 0.750 (multiplicity 4)
3 P 0.051 0.326 0.013 (multiplicity 8)
4 P 0.223 0.472 0.451 (multiplicity 8)
5 O 0.056 0.243 0.589 (multiplicity 8)
6 O 0.081 0.375 0.414 (multiplicity 8)
7 O 0.088 0.425 0.928 (multiplicity 8)
8 O 0.160 0.033 0.399 (multiplicity 8)
9 O 0.195 0.022 0.657 (multiplicity 8)
10 O 0.216 0.290 0.127 (multiplicity 8)

---

# 3
This record from Alexandria describes Li3Bi3P4O16 at its PBEsol-relaxed geometry. The functional is SCAN.

Results
- V (A^3/atom) = 13.77
- energy relative to the elements, uncorrected (meV per atom) = -2127
- magnetization (μB/cell) = 0.000
- excess energy over the best structure of this formula in the dataset (meV/atom) = 25

Unit cell a=9.078 b=5.328 c=17.031 alpha=90.00 beta=119.64 gamma=90.00
Space group P2_1/c (No. 14)
Asymmetric unit:
1 Li 0.000 0.000 0.000 (multiplicity 2)
2 Li 0.111 0.053 0.286 (multiplicity 4)
3 Bi 0.400 0.535 0.632 (multiplicity 4)
4 Bi 0.500 0.000 0.500 (multiplicity 2)
5 P 0.230 0.528 0.392 (multiplicity 4)
6 P 0.266 0.034 0.639 (multiplicity 4)
7 O 0.085 0.091 0.809 (multiplicity 4)
8 O 0.131 0.220 0.581 (multiplicity 4)
9 O 0.205 0.524 0.475 (multiplicity 4)
10 O 0.214 0.732 0.153 (multiplicity 4)
11 O 0.269 0.698 0.875 (multiplicity 4)
12 O 0.385 0.172 0.730 (multiplicity 4)
13 O 0.386 0.534 0.098 (multiplicity 4)
14 O 0.396 0.131 0.917 (multiplicity 4)

---

# 4
This record from Alexandria describes Li5BiP4O14 at its PBEsol-relaxed geometry. The functional is SCAN.

Results
- V (A^3/atom) = 11.08
- energy relative to the elements, uncorrected (meV per atom) = -2413
- magnetization (μB/cell) = 0.000

Unit cell a=7.222 b=8.440 c=9.770 alpha=76.89 beta=75.99 gamma=68.65
Space group P-1 (No. 2)
Asymmetric unit:
1 Li 0.024 0.477 0.139 (multiplicity 2)
2 Li 0.246 0.729 0.908 (multiplicity 2)
3 Li 0.329 0.199 0.295 (multiplicity 2)
4 Li 0.335 0.241 0.624 (multiplicity 2)
5 Li 0.439 0.484 0.342 (multiplicity 2)
6 Bi 0.121 0.871 0.241 (multiplicity 2)
7 P 0.132 0.629 0.579 (multiplicity 2)
8 P 0.166 0.141 0.966 (multiplicity 2)
9 P 0.310 0.902 0.543 (multiplicity 2)
10 P 0.417 0.337 0.961 (multiplicity 2)
11 O 0.049 0.257 0.845 (multiplicity 2)
12 O 0.063 0.196 0.112 (multiplicity 2)
13 O 0.070 0.375 0.337 (multiplicity 2)
14 O 0.137 0.813 0.601 (multiplicity 2)
15 O 0.161 0.643 0.414 (multiplicity 2)
16 O 0.206 0.951 0.970 (multiplicity 2)
17 O 0.223 0.059 0.620 (multiplicity 2)
18 O 0.224 0.490 0.945 (multiplicity 2)
19 O 0.313 0.484 0.629 (multiplicity 2)
20 O 0.333 0.945 0.379 (multiplicity 2)
21 O 0.381 0.171 0.923 (multiplicity 2)
22 O 0.401 0.648 0.157 (multiplicity 2)
23 O 0.461 0.296 0.111 (multiplicity 2)
24 O 0.494 0.229 0.415 (multiplicity 2)

---

# 5
This record from Alexandria describes Li2BiP5O15 at its PBEsol-relaxed geometry. The functional is SCAN.

Results
- V (A^3/atom) = 12.58
- energy relative to the elements, uncorrected (meV per atom) = -2300
- magnetization (μB/cell) = 0.000

Unit cell a=7.851 b=11.608 c=12.701 alpha=90.00 beta=90.95 gamma=90.00
Space group Cc (No. 9)
Asymmetric unit:
1 Li 0.000 0.031 0.000 (multiplicity 4)
2 Li 0.155 0.252 0.145 (multiplicity 4)
3 Bi 0.258 0.134 0.656 (multiplicity 4)
4 P 0.047 0.392 0.747 (multiplicity 4)
5 P 0.079 0.181 0.387 (multiplicity 4)
6 P 0.094 0.451 0.972 (multiplicity 4)
7 P 0.318 0.144 0.939 (multiplicity 4)
8 P 0.406 0.430 0.709 (multiplicity 4)
9 O 0.000 0.024 0.654 (multiplicity 4)
10 O 0.037 0.379 0.064 (multiplicity 4)
11 O 0.055 0.280 0.688 (multiplicity 4)
12 O 0.072 0.368 0.870 (multiplicity 4)
13 O 0.160 0.258 0.309 (multiplicity 4)
14 O 0.176 0.115 0.471 (multiplicity 4)
15 O 0.201 0.138 0.031 (multiplicity 4)
16 O 0.214 0.470 0.722 (multiplicity 4)
17 O 0.233 0.142 0.833 (multiplicity 4)
18 O 0.264 0.494 0.478 (multiplicity 4)
19 O 0.394 0.034 0.226 (multiplicity 4)
20 O 0.414 0.313 0.658 (multiplicity 4)
21 O 0.430 0.258 0.952 (multiplicity 4)
22 O 0.456 0.046 0.946 (multiplicity 4)
23 O 0.476 0.422 0.827 (multiplicity 4)

---

# 6
This record from Alexandria describes Li2Bi3P9O28 at its PBEsol-relaxed geometry. The functional is SCAN.

Results
- V (A^3/atom) = 13.47
- energy relative to the elements, uncorrected (meV per atom) = -2191
- magnetization (μB/cell) = 0.000

Unit cell a=7.006 b=9.636 c=9.842 alpha=113.82 beta=95.23 gamma=106.66
Space group P-1 (No. 2)
Asymmetric unit:
1 Li 0.120 0.231 0.389 (multiplicity 2)
2 Bi 0.282 0.739 0.470 (multiplicity 2)
3 Bi 0.500 0.500 0.000 (multiplicity 1)
4 P 0.000 0.000 0.000 (multiplicity 1)
5 P 0.104 0.366 0.164 (multiplicity 2)
6 P 0.216 0.533 0.708 (multiplicity 2)
7 P 0.294 0.978 0.242 (multiplicity 2)
8 P 0.320 0.061 0.816 (multiplicity 2)
9 O 0.065 0.190 0.149 (multiplicity 2)
10 O 0.065 0.363 0.589 (multiplicity 2)
11 O 0.104 0.939 0.117 (multiplicity 2)
12 O 0.110 0.606 0.848 (multiplicity 2)
13 O 0.176 0.927 0.663 (multiplicity 2)
14 O 0.184 0.394 0.038 (multiplicity 2)
15 O 0.226 0.470 0.329 (multiplicity 2)
16 O 0.231 0.059 0.956 (multiplicity 2)
17 O 0.252 0.842 0.284 (multiplicity 2)
18 O 0.257 0.656 0.645 (multiplicity 2)
19 O 0.346 0.147 0.373 (multiplicity 2)
20 O 0.389 0.227 0.822 (multiplicity 2)
21 O 0.406 0.524 0.782 (multiplicity 2)
22 O 0.480 0.983 0.156 (multiplicity 2)

---

# 7
This record from Alexandria describes Li3Bi2P3O12 at its PBEsol-relaxed geometry. The functional is SCAN.

Results
- V (A^3/atom) = 13.71
- energy relative to the elements, uncorrected (meV per atom) = -2239
- magnetization (μB/cell) = 0.000
- excess energy over the best structure of this formula in the dataset (meV/atom) = 0

Unit cell a=8.7958 b=8.7958 c=24.5515 alpha=90.00 beta=90.00 gamma=120.00
Space group R-3 (No. 148, hexagonal axes)
Asymmetric unit:
1 Li 0.0181 0.7103 0.0453 (multiplicity 18)
2 Bi 0.0000 0.0000 0.1523 (multiplicity 6)
3 Bi 0.0000 0.0000 0.3416 (multiplicity 6)
4 P 0.0039 0.3124 0.7443 (multiplicity 18)
5 O 0.0245 0.2157 0.7926 (multiplicity 18)
6 O 0.0384 0.4781 0.3608 (multiplicity 18)
7 O 0.0828 0.5091 0.7568 (multiplicity 18)
8 O 0.0864 0.5269 0.0607 (multiplicity 18)

---

# 8
This record from Alexandria describes LiBiPd2O4 at its PBEsol-relaxed geometry. The functional is SCAN.

Results
- V (A^3/atom) = 12.72
- energy relative to the elements, uncorrected (meV per atom) = -1144
- magnetization (μB/cell) = 0.000

Unit cell a=6.887 b=6.887 c=4.290 alpha=90.00 beta=90.00 gamma=90.00
Space group P4/nmm (No. 129, origin choice 2)
Asymmetric unit:
1 Li 0.250 0.750 0.000 (multiplicity 2)
2 Bi 0.250 0.250 0.026 (multiplicity 2)
3 Pd 0.000 0.000 0.500 (multiplicity 4)
4 O 0.024 0.750 0.263 (multiplicity 8)